# SCAN Zn2RePb, PBEsol geometry
data_Zn2RePb
_cell_length_a 4.842
_cell_length_b 4.842
_cell_length_c 2.877
_cell_angle_alpha 90.00
_cell_angle_beta 90.00
_cell_angle_gamma 90.00
_space_group_name_H-M_alt 'P 4/m m m'
_space_group_IT_number 123
_space_group_name_Hall '-P 4 2'
loop_
_atom_site_label
_atom_site_type_symbol
_atom_site_fract_x
_atom_site_fract_y
_atom_site_fract_z
_atom_site_occupancy
Zn1 Zn 0.000 0.500 0.000 1
Re1 Re 0.000 0.000 0.500 1
Pb1 Pb 0.500 0.500 0.500 1
# * energy: -171.10 eV per cell
# * Fermi-level density of states: 0.39 states/eV/atom
# * formation energy from the elements: 0.70 eV/atom
# * mass density: 12.90 g/cm³
# * size of the total moment: 0.000 μB per formula unit



# SCAN LiTcBr2, PBEsol geometry
data_LiTcBr2
_cell_length_a 3.5367
_cell_length_b 3.5367
_cell_length_c 21.7375
_cell_angle_alpha 90.00
_cell_angle_beta 90.00
_cell_angle_gamma 120.00
_space_group_name_H-M_alt 'R -3 m'
_space_group_IT_number 166
_space_group_name_Hall '-R 3 2"'
loop_
_atom_site_label
_atom_site_type_symbol
_atom_site_fract_x
_atom_site_fract_y
_atom_site_fract_z
_atom_site_occupancy
Li1 Li 0.0000 0.0000 0.0000 1
Tc1 Tc 0.0000 0.0000 0.5000 1
Br1 Br 0.0000 0.0000 0.2565 1
# * energy: -231.70 eV per cell
# * Fermi-level density of states: 0.17 states/eV/atom
# * ΔE_f (raw): -0.216 eV/atom
# * mass density: 5.60 g/cm³
# * size of the total moment: 4.001 μB per formula unit



# SCAN La3MgNi, PBEsol geometry
data_La3MgNi
_cell_length_a 5.395
_cell_length_b 5.395
_cell_length_c 5.395
_cell_angle_alpha 90.00
_cell_angle_beta 90.00
_cell_angle_gamma 90.00
_space_group_name_H-M_alt 'P m -3 m'
_space_group_IT_number 221
_space_group_name_Hall '-P 4 2 3'
loop_
_atom_site_label
_atom_site_type_symbol
_atom_site_fract_x
_atom_site_fract_y
_atom_site_fract_z
_atom_site_occupancy
La1 La 0.000 0.000 0.500 1
Mg1 Mg 0.500 0.500 0.500 1
Ni1 Ni 0.000 0.000 0.000 1
# * energy: -150.87 eV per cell
# * Fermi-level density of states: 1.40 states/eV/atom
# * formation energy from the elements: -0.08 eV/atom
# * mass density: 5.29 g/cm³
# * size of the total moment: 0.000 μB per formula unit



# SCAN Ag24Au5, PBEsol geometry
data_Ag24Au5
_cell_length_a 9.939
_cell_length_b 9.939
_cell_length_c 9.939
_cell_angle_alpha 90.00
_cell_angle_beta 90.00
_cell_angle_gamma 90.00
_space_group_name_H-M_alt 'I -4 3 m'
_space_group_IT_number 217
_space_group_name_Hall 'I -4 2 3'
loop_
_atom_site_label
_atom_site_type_symbol
_atom_site_fract_x
_atom_site_fract_y
_atom_site_fract_z
_atom_site_occupancy
Ag1 Ag 0.053 0.363 0.637 1
Ag2 Ag 0.095 0.095 0.714 1
Au1 Au 0.000 0.000 0.000 1
Au2 Au 0.169 0.169 0.169 1
# * energy: -2194.29 eV per cell
# * Fermi-level density of states: 0.23 states/eV/atom
# * formation energy from the elements: 0.05 eV/atom
# * mass density: 12.09 g/cm³
# * size of the total moment: 0.000 μB per formula unit



# SCAN BaTc2, PBEsol geometry
data_BaTc2
_cell_length_a 3.719
_cell_length_b 13.958
_cell_length_c 5.752
_cell_angle_alpha 90.00
_cell_angle_beta 90.00
_cell_angle_gamma 90.00
_space_group_name_H-M_alt 'C m c m'
_space_group_IT_number 63
_space_group_name_Hall '-C 2c 2'
loop_
_atom_site_label
_atom_site_type_symbol
_atom_site_fract_x
_atom_site_fract_y
_atom_site_fract_z
_atom_site_occupancy
Ba1 Ba 0.000 0.151 0.250 1
Tc1 Tc 0.000 0.133 0.750 1
Tc2 Tc 0.000 0.461 0.250 1
# * energy: -427.10 eV per cell
# * Fermi-level density of states: 0.65 states/eV/atom
# * formation energy from the elements: 0.97 eV/atom
# * energy above the most stable polymorph in this dataset: 0.0 meV per atom
# * mass density: 7.42 g/cm³
# * size of the total moment: 0.000 μB per formula unit



# SCAN Co2AgAu, PBEsol geometry
data_Co2AgAu
_cell_length_a 8.870
_cell_length_b 2.693
_cell_length_c 4.695
_cell_angle_alpha 90.00
_cell_angle_beta 99.80
_cell_angle_gamma 90.00
_space_group_name_H-M_alt 'C 1 2/m 1'
_space_group_IT_number 12
_space_group_name_Hall '-C 2y'
loop_
_atom_site_label
_atom_site_type_symbol
_atom_site_fract_x
_atom_site_fract_y
_atom_site_fract_z
_atom_site_occupancy
Co1 Co 0.248 0.000 0.243 1
Ag1 Ag 0.000 0.000 0.500 1
Au1 Au 0.000 0.500 0.000 1
# * energy: -267.56 eV per cell
# * Fermi-level density of states: 0.68 states/eV/atom
# * formation energy from the elements: 0.34 eV/atom
# * mass density: 12.70 g/cm³
# * size of the total moment: 3.758 μB per formula unit



# SCAN Sc2ZnAs, PBEsol geometry
data_Sc2ZnAs
_cell_length_a 3.6158
_cell_length_b 3.6158
_cell_length_c 26.1860
_cell_angle_alpha 90.00
_cell_angle_beta 90.00
_cell_angle_gamma 120.00
_space_group_name_H-M_alt 'R -3 m'
_space_group_IT_number 166
_space_group_name_Hall '-R 3 2"'
loop_
_atom_site_label
_atom_site_type_symbol
_atom_site_fract_x
_atom_site_fract_y
_atom_site_fract_z
_atom_site_occupancy
Sc1 Sc 0.0000 0.0000 0.1076 1
Zn1 Zn 0.0000 0.0000 0.0000 1
As1 As 0.0000 0.0000 0.5000 1
# * energy: -190.06 eV per cell
# * Fermi-level density of states: 1.07 states/eV/atom
# * formation energy from the elements: -0.29 eV/atom
# * energy above the most stable polymorph in this dataset: 620.2 meV per atom
# * mass density: 3.87 g/cm³
# * size of the total moment: 0.000 μB per formula unit



# SCAN GePRu2Rh, PBEsol geometry
data_GePRu2Rh
_cell_length_a 4.677
_cell_length_b 4.677
_cell_length_c 4.265
_cell_angle_alpha 90.00
_cell_angle_beta 90.00
_cell_angle_gamma 90.00
_space_group_name_H-M_alt 'P 4/m m m'
_space_group_IT_number 123
_space_group_name_Hall '-P 4 2'
loop_
_atom_site_label
_atom_site_type_symbol
_atom_site_fract_x
_atom_site_fract_y
_atom_site_fract_z
_atom_site_occupancy
Ge1 Ge 0.000 0.000 0.000 1
P1 P 0.500 0.500 0.000 1
Ru1 Ru 0.000 0.500 0.500 1
Rh1 Rh 0.500 0.500 0.500 1
# * energy: -125.63 eV per cell
# * Fermi-level density of states: 1.14 states/eV/atom
# * formation energy from the elements: 1.46 eV/atom
# * mass density: 7.27 g/cm³
# * size of the total moment: 0.005 μB per formula unit



# SCAN LiPb, PBEsol geometry
data_LiPb
_cell_length_a 3.940
_cell_length_b 3.940
_cell_length_c 5.908
_cell_angle_alpha 90.00
_cell_angle_beta 90.00
_cell_angle_gamma 90.00
_space_group_name_H-M_alt 'P 4/n m m'
_space_group_IT_number 129
loop_
_space_group_symop_operation_xyz
'x,y,z'
'-x,-y,-z'
'-y+1/2,x,z'
'y+1/2,-x,-z'
'-x+1/2,-y+1/2,z'
'x+1/2,y+1/2,-z'
'y,-x+1/2,z'
'-y,x+1/2,-z'
'x+1/2,-y,-z'
'-x+1/2,y,z'
'-y,-x,-z'
'y,x,z'
'-x,y+1/2,-z'
'x,-y+1/2,z'
'y+1/2,x+1/2,-z'
'-y+1/2,-x+1/2,z'
loop_
_atom_site_label
_atom_site_type_symbol
_atom_site_fract_x
_atom_site_fract_y
_atom_site_fract_z
_atom_site_occupancy
Li1 Li 0.250 0.250 0.135 1
Pb1 Pb 0.250 0.250 0.642 1
# * energy: -157.43 eV per cell
# * Fermi-level density of states: 0.41 states/eV/atom
# * formation energy from the elements: -0.27 eV/atom
# * mass density: 7.76 g/cm³
# * size of the total moment: 0.000 μB per formula unit



# SCAN Ba2Sn2Bi, PBEsol geometry
data_Ba2Sn2Bi
_cell_length_a 8.351
_cell_length_b 8.351
_cell_length_c 5.126
_cell_angle_alpha 90.00
_cell_angle_beta 90.00
_cell_angle_gamma 90.00
_space_group_name_H-M_alt 'P 4/m b m'
_space_group_IT_number 127
_space_group_name_Hall '-P 4 2ab'
loop_
_atom_site_label
_atom_site_type_symbol
_atom_site_fract_x
_atom_site_fract_y
_atom_site_fract_z
_atom_site_occupancy
Ba1 Ba 0.177 0.323 0.000 1
Sn1 Sn 0.122 0.622 0.500 1
Bi1 Bi 0.000 0.000 0.500 1
# * energy: -466.40 eV per cell
# * Fermi-level density of states: 0.37 states/eV/atom
# * formation energy from the elements: -0.74 eV/atom
# * energy above the most stable polymorph in this dataset: 0.0 meV per atom
# * mass density: 6.70 g/cm³
# * size of the total moment: 0.000 μB per formula unit



# SCAN MnBe2Re, PBEsol geometry
data_MnBe2Re
_cell_length_a 5.501
_cell_length_b 5.501
_cell_length_c 5.501
_cell_angle_alpha 90.00
_cell_angle_beta 90.00
_cell_angle_gamma 90.00
_space_group_name_H-M_alt 'F -4 3 m'
_space_group_IT_number 216
_space_group_name_Hall 'F -4 2 3'
loop_
_atom_site_label
_atom_site_type_symbol
_atom_site_fract_x
_atom_site_fract_y
_atom_site_fract_z
_atom_site_occupancy
Mn1 Mn 0.000 0.000 0.000 1
Be1 Be 0.000 0.000 0.500 1
Be2 Be 0.250 0.250 0.250 1
Re1 Re 0.250 0.250 0.750 1
# * energy: -395.24 eV per cell
# * Fermi-level density of states: 0.18 states/eV/atom
# * formation energy from the elements: -0.19 eV/atom
# * energy above the most stable polymorph in this dataset: 0.0 meV per atom
# * mass density: 10.34 g/cm³
# * size of the total moment: 0.000 μB per formula unit



# SCAN Rb2V3O8, PBEsol geometry
data_Rb2V3O8
_cell_length_a 8.855
_cell_length_b 8.855
_cell_length_c 5.595
_cell_angle_alpha 90.00
_cell_angle_beta 90.00
_cell_angle_gamma 90.00
_space_group_name_H-M_alt 'P 4 b m'
_space_group_IT_number 100
_space_group_name_Hall 'P 4 -2ab'
loop_
_atom_site_label
_atom_site_type_symbol
_atom_site_fract_x
_atom_site_fract_y
_atom_site_fract_z
_atom_site_occupancy
Rb1 Rb 0.168 0.332 0.000 1
V1 V 0.000 0.000 0.542 1
V2 V 0.134 0.634 0.527 1
O1 O 0.000 0.000 0.255 1
O2 O 0.000 0.500 0.641 1
O3 O 0.083 0.809 0.638 1
O4 O 0.132 0.632 0.234 1
# * energy: -355.11 eV per cell
# * ΔE_f (raw): -2.597 eV/atom
# * mass density: 3.42 g/cm³
# * size of the total moment: 1.000 μB per formula unit



# SCAN Ca2Sc, PBEsol geometry
data_Ca2Sc
_cell_length_a 5.7772
_cell_length_b 5.7772
_cell_length_c 6.9438
_cell_angle_alpha 90.00
_cell_angle_beta 90.00
_cell_angle_gamma 120.00
_space_group_name_H-M_alt 'P 63/m m c'
_space_group_IT_number 194
_space_group_name_Hall '-P 6c 2c'
loop_
_atom_site_label
_atom_site_type_symbol
_atom_site_fract_x
_atom_site_fract_y
_atom_site_fract_z
_atom_site_occupancy
Ca1 Ca 0.0000 0.0000 0.0000 1
Ca2 Ca 0.3333 0.6667 0.2500 1
Sc1 Sc 0.3333 0.6667 0.7500 1
# * energy: -65.19 eV per cell
# * Fermi-level density of states: 1.66 states/eV/atom
# * formation energy from the elements: 0.32 eV/atom
# * energy above the most stable polymorph in this dataset: 136.4 meV per atom
# * mass density: 2.07 g/cm³
# * size of the total moment: 0.507 μB per formula unit



# SCAN Ti3CuNi2P6O24, PBEsol geometry
data_Ti3CuNi2P6O24
_cell_length_a 8.5474
_cell_length_b 8.5474
_cell_length_c 20.1803
_cell_angle_alpha 90.00
_cell_angle_beta 90.00
_cell_angle_gamma 120.00
_space_group_name_H-M_alt 'R 3'
_space_group_IT_number 146
_space_group_name_Hall 'R 3'
loop_
_atom_site_label
_atom_site_type_symbol
_atom_site_fract_x
_atom_site_fract_y
_atom_site_fract_z
_atom_site_occupancy
Ti1 Ti 0.0000 0.0000 0.0000 1
Ti2 Ti 0.0000 0.0000 0.2150 1
Ti3 Ti 0.0000 0.0000 0.7121 1
Cu1 Cu 0.0000 0.0000 0.4980 1
Ni1 Ni 0.0000 0.0000 0.3576 1
Ni2 Ni 0.0000 0.0000 0.8574 1
P1 P 0.9996 0.7047 0.6034 1
P2 P 0.0369 0.3697 0.7731 1
O1 O 0.0051 0.1933 0.1684 1
O2 O 0.0097 0.8172 0.6653 1
O3 O 0.0153 0.1789 0.7825 1
O4 O 0.0196 0.8377 0.2827 1
O5 O 0.1302 0.6704 0.2068 1
O6 O 0.1598 0.4666 0.7132 1
O7 O 0.1643 0.6723 0.5995 1
O8 O 0.1678 0.4780 0.0931 1
# * energy: -1188.16 eV per cell
# * Fermi-level density of states: 0.20 states/eV/atom
# * ΔE_f (raw): -2.458 eV/atom
# * mass density: 3.49 g/cm³
# * size of the total moment: 5.000 μB per formula unit



# SCAN As2IrPb, PBEsol geometry
data_As2IrPb
_cell_length_a 4.406
_cell_length_b 4.406
_cell_length_c 7.709
_cell_angle_alpha 90.00
_cell_angle_beta 90.00
_cell_angle_gamma 90.00
_space_group_name_H-M_alt 'I -4 m 2'
_space_group_IT_number 119
_space_group_name_Hall 'I -4 -2'
loop_
_atom_site_label
_atom_site_type_symbol
_atom_site_fract_x
_atom_site_fract_y
_atom_site_fract_z
_atom_site_occupancy
As1 As 0.000 0.000 0.000 1
As2 As 0.000 0.500 0.250 1
Ir1 Ir 0.000 0.000 0.500 1
Pb1 Pb 0.000 0.500 0.750 1
# * energy: -369.80 eV per cell
# * Fermi-level density of states: 0.44 states/eV/atom
# * formation energy from the elements: 0.59 eV/atom
# * energy above the most stable polymorph in this dataset: 711.7 meV per atom
# * mass density: 12.19 g/cm³
# * size of the total moment: 0.000 μB per formula unit



# SCAN CoCuTc2, PBEsol geometry
data_CoCuTc2
_cell_length_a 4.512
_cell_length_b 2.601
_cell_length_c 4.526
_cell_angle_alpha 90.00
_cell_angle_beta 109.40
_cell_angle_gamma 90.00
_space_group_name_H-M_alt 'P 1 2/m 1'
_space_group_IT_number 10
_space_group_name_Hall '-P 2y'
loop_
_atom_site_label
_atom_site_type_symbol
_atom_site_fract_x
_atom_site_fract_y
_atom_site_fract_z
_atom_site_occupancy
Co1 Co 0.000 0.000 0.000 1
Cu1 Cu 0.500 0.500 0.000 1
Tc1 Tc 0.000 0.500 0.500 1
Tc2 Tc 0.500 0.000 0.500 1
# * energy: -101.60 eV per cell
# * Fermi-level density of states: 0.78 states/eV/atom
# * formation energy from the elements: 0.26 eV/atom
# * energy above the most stable polymorph in this dataset: 87.5 meV per atom
# * mass density: 10.56 g/cm³
# * size of the total moment: 1.648 μB per formula unit



# SCAN SrCd2Cu, PBEsol geometry
data_SrCd2Cu
_cell_length_a 4.6224
_cell_length_b 4.6224
_cell_length_c 15.9730
_cell_angle_alpha 90.00
_cell_angle_beta 90.00
_cell_angle_gamma 120.00
_space_group_name_H-M_alt 'R 3 m'
_space_group_IT_number 160
_space_group_name_Hall 'R 3 -2"'
loop_
_atom_site_label
_atom_site_type_symbol
_atom_site_fract_x
_atom_site_fract_y
_atom_site_fract_z
_atom_site_occupancy
Sr1 Sr 0.0000 0.0000 0.0000 1
Cd1 Cd 0.0000 0.0000 0.5293 1
Cd2 Cd 0.0000 0.0000 0.7970 1
Cu1 Cu 0.0000 0.0000 0.1945 1
# * energy: -297.16 eV per cell
# * Fermi-level density of states: 0.47 states/eV/atom
# * formation energy from the elements: -0.19 eV/atom
# * mass density: 6.34 g/cm³
# * size of the total moment: 0.000 μB per formula unit



# SCAN BeAgOs, PBEsol geometry
data_BeAgOs
_cell_length_a 5.469
_cell_length_b 5.469
_cell_length_c 5.469
_cell_angle_alpha 90.00
_cell_angle_beta 90.00
_cell_angle_gamma 90.00
_space_group_name_H-M_alt 'F -4 3 m'
_space_group_IT_number 216
_space_group_name_Hall 'F -4 2 3'
loop_
_atom_site_label
_atom_site_type_symbol
_atom_site_fract_x
_atom_site_fract_y
_atom_site_fract_z
_atom_site_occupancy
Be1 Be 0.000 0.000 0.000 1
Ag1 Ag 0.250 0.250 0.250 1
Os1 Os 0.250 0.250 0.750 1
# * energy: -421.80 eV per cell
# * Fermi-level density of states: 0.82 states/eV/atom
# * formation energy from the elements: 0.72 eV/atom
# * mass density: 12.47 g/cm³
# * size of the total moment: 0.000 μB per formula unit



# SCAN LiFe3Ag, PBEsol geometry
data_LiFe3Ag
_cell_length_a 4.697
_cell_length_b 4.697
_cell_length_c 4.697
_cell_angle_alpha 90.00
_cell_angle_beta 90.00
_cell_angle_gamma 90.00
_space_group_name_H-M_alt 'P m -3 m'
_space_group_IT_number 221
_space_group_name_Hall '-P 4 2 3'
loop_
_atom_site_label
_atom_site_type_symbol
_atom_site_fract_x
_atom_site_fract_y
_atom_site_fract_z
_atom_site_occupancy
Li1 Li 0.000 0.000 0.000 1
Fe1 Fe 0.000 0.500 0.500 1
Ag1 Ag 0.500 0.500 0.500 1
# * energy: -81.53 eV per cell
# * Fermi-level density of states: 1.20 states/eV/atom
# * formation energy from the elements: 1.32 eV/atom
# * mass density: 4.52 g/cm³
# * size of the total moment: 9.827 μB per formula unit



# SCAN Ti3AlRu, PBEsol geometry
data_Ti3AlRu
_cell_length_a 4.519
_cell_length_b 4.519
_cell_length_c 4.519
_cell_angle_alpha 90.00
_cell_angle_beta 90.00
_cell_angle_gamma 90.00
_space_group_name_H-M_alt 'P m -3 m'
_space_group_IT_number 221
_space_group_name_Hall '-P 4 2 3'
loop_
_atom_site_label
_atom_site_type_symbol
_atom_site_fract_x
_atom_site_fract_y
_atom_site_fract_z
_atom_site_occupancy
Ti1 Ti 0.000 0.000 0.500 1
Al1 Al 0.000 0.000 0.000 1
Ru1 Ru 0.500 0.500 0.500 1
# * energy: -85.01 eV per cell
# * Fermi-level density of states: 1.70 states/eV/atom
# * formation energy from the elements: 1.13 eV/atom
# * mass density: 4.89 g/cm³
# * size of the total moment: 0.000 μB per formula unit